Record 1
Here is NaSn2P2 after structural relaxation from the Alexandria database. Energies are from PBE.

Summary:
The calculation puts the energy relative to the elements at -0.0504 eV/atom. The value obtained for the total magnetic moment is 0.0 Bohr magnetons per cell.

Structure (extended XYZ):
```
5
Lattice="-1.802 -3.870 -2.840 3.631 0.885 -3.510 3.763 -4.437 -0.970" Properties=species:S:1:pos:R:3 pbc="T T T"
P 4.154 -2.522 -3.827
P 1.438 -4.899 -3.492
Sn 1.814 -2.422 -2.479
Sn 3.778 -5.000 -4.841
Na 0.000 0.000 0.000
```

---

Record 2
Here is Na2SnP2 after structural relaxation from the Alexandria database. Energies are from PBE.

Summary:
For the offset from the most stable computed form, the calculation gives 1.10 eV per formula unit. The calculation puts the energy relative to the elements at -0.0539 eV/atom. The value obtained for the total magnetic moment is 0.0 Bohr magnetons per cell.

Structure (extended XYZ):
```
5
Lattice="4.394 0.000 0.000 0.000 4.394 0.000 2.197 2.197 5.788" Properties=species:S:1:pos:R:3 pbc="T T T"
Sn 0.000 0.000 0.000
P 2.197 2.197 1.082
P 4.394 4.394 4.706
Na 2.197 4.394 2.894
Na 4.394 2.197 2.894
```

---

Record 3
Here is NaSn2P2 after structural relaxation from the Alexandria database. Energies are from PBE.

Summary:
The calculation puts the energy relative to the elements at 0.0155 eV/atom. The value obtained for the total magnetic moment is 0.0 Bohr magnetons per cell.

Structure (extended XYZ):
```
5
Lattice="-4.137 0.390 1.344 -1.398 -1.355 -3.909 -2.666 -6.631 0.813" Properties=species:S:1:pos:R:3 pbc="T T T"
Sn -3.416 -4.235 -2.189
Sn -4.786 -3.362 0.437
Na 0.000 0.000 0.000
P -2.751 -1.477 -0.944
P -5.450 -6.119 -0.808
```